Entry 1:
A plane-wave DFT calculation with GGA-PBE was carried out for a geometry-optimized MnRe2W structure.

The structure in CIF format:
```
data_MnRe2W
_cell_length_a 5.361
_cell_length_b 8.790
_cell_length_c 2.681
_cell_angle_alpha 90.00
_cell_angle_beta 110.44
_cell_angle_gamma 90.00
_symmetry_space_group_name_H-M 'C 1 2/m 1'
_symmetry_Int_Tables_number 12
_symmetry_space_group_name_Hall '-C 2y'
loop_
_atom_site_label
_atom_site_type_symbol
_atom_site_fract_x
_atom_site_fract_y
_atom_site_fract_z
Mn1 Mn 0.000 0.000 0.000
Re1 Re 0.250 0.250 0.500
W1 W 0.000 0.500 0.000
```

Output
E_tot: -93.2 eV/cell
size of the total moment: 2.58 μB per formula unit
volume: 14.80 Å³/atom

***

Entry 2:
A plane-wave DFT calculation with GGA-PBE was carried out for a geometry-optimized Mn2ReW structure.

The structure in CIF format:
```
data_Mn2ReW
_cell_length_a 2.7446
_cell_length_b 2.7446
_cell_length_c 25.6824
_cell_angle_alpha 90.00
_cell_angle_beta 90.00
_cell_angle_gamma 120.00
_symmetry_space_group_name_H-M 'R -3 m'
_symmetry_Int_Tables_number 166
_symmetry_space_group_name_Hall '-R 3 2"'
loop_
_atom_site_label
_atom_site_type_symbol
_atom_site_fract_x
_atom_site_fract_y
_atom_site_fract_z
Mn1 Mn 0.0000 0.0000 0.2480
Re1 Re 0.0000 0.0000 0.5000
W1 W 0.0000 0.0000 0.0000
```

Output
E_tot: -128.0 eV/cell
size of the total moment: 3.49 μB per formula unit
volume: 13.96 Å³/atom

***

Entry 3:
A plane-wave DFT calculation with GGA-PBE was carried out for a geometry-optimized MnReW4 structure.

The structure in CIF format:
```
data_MnReW4
_cell_length_a 7.368
_cell_length_b 7.368
_cell_length_c 7.368
_cell_angle_alpha 90.00
_cell_angle_beta 90.00
_cell_angle_gamma 90.00
_symmetry_space_group_name_H-M 'F -4 3 m'
_symmetry_Int_Tables_number 216
_symmetry_space_group_name_Hall 'F -4 2 3'
loop_
_atom_site_label
_atom_site_type_symbol
_atom_site_fract_x
_atom_site_fract_y
_atom_site_fract_z
Mn1 Mn 0.000 0.000 0.000
Re1 Re 0.250 0.250 0.750
W1 W 0.126 0.126 0.374
```

Output
E_tot: -281.4 eV/cell
size of the total moment: 3.79 μB per formula unit
volume: 16.66 Å³/atom

***

Entry 4:
A plane-wave DFT calculation with GGA-PBE was carried out for a geometry-optimized MnRe2W structure.

The structure in CIF format:
```
data_MnRe2W
_cell_length_a 3.118
_cell_length_b 3.118
_cell_length_c 5.988
_cell_angle_alpha 90.00
_cell_angle_beta 90.00
_cell_angle_gamma 90.00
_symmetry_space_group_name_H-M 'P 4 m m'
_symmetry_Int_Tables_number 99
_symmetry_space_group_name_Hall 'P 4 -2'
loop_
_atom_site_label
_atom_site_type_symbol
_atom_site_fract_x
_atom_site_fract_y
_atom_site_fract_z
Mn1 Mn 0.000 0.000 0.000
Re1 Re 0.000 0.000 0.501
Re2 Re 0.500 0.500 0.238
W1 W 0.500 0.500 0.770
```

Output
E_tot: -46.5 eV/cell
size of the total moment: 1.98 μB per formula unit
volume: 14.55 Å³/atom

***

Entry 5:
A plane-wave DFT calculation with GGA-PBE was carried out for a geometry-optimized MnRe2W structure.

The structure in CIF format:
```
data_MnRe2W
_cell_length_a 2.713
_cell_length_b 2.713
_cell_length_c 7.806
_cell_angle_alpha 90.00
_cell_angle_beta 90.00
_cell_angle_gamma 90.00
_symmetry_space_group_name_H-M 'P 4/m m m'
_symmetry_Int_Tables_number 123
_symmetry_space_group_name_Hall '-P 4 2'
loop_
_atom_site_label
_atom_site_type_symbol
_atom_site_fract_x
_atom_site_fract_y
_atom_site_fract_z
Mn1 Mn 0.000 0.000 0.000
Re1 Re 0.500 0.500 0.221
W1 W 0.000 0.000 0.500
```

Output
E_tot: -46.5 eV/cell
size of the total moment: 0.00 μB per formula unit
volume: 14.36 Å³/atom

***

Entry 6:
A plane-wave DFT calculation with GGA-PBE was carried out for a geometry-optimized Mn2ReW structure.

The structure in CIF format:
```
data_Mn2ReW
_cell_length_a 2.638
_cell_length_b 3.822
_cell_length_c 5.454
_cell_angle_alpha 90.00
_cell_angle_beta 90.00
_cell_angle_gamma 90.00
_symmetry_space_group_name_H-M 'P m m 2'
_symmetry_Int_Tables_number 25
_symmetry_space_group_name_Hall 'P 2 -2'
loop_
_atom_site_label
_atom_site_type_symbol
_atom_site_fract_x
_atom_site_fract_y
_atom_site_fract_z
Mn1 Mn 0.000 0.000 0.000
Mn2 Mn 0.500 0.500 0.224
Re1 Re 0.000 0.000 0.466
W1 W 0.500 0.500 0.745
```

Output
E_tot: -42.9 eV/cell
size of the total moment: 0.09 μB per formula unit
volume: 13.75 Å³/atom

***

Entry 7:
A plane-wave DFT calculation with GGA-PBE was carried out for a geometry-optimized Mn2ReW structure.

The structure in CIF format:
```
data_Mn2ReW
_cell_length_a 2.637
_cell_length_b 4.296
_cell_length_c 4.908
_cell_angle_alpha 90.00
_cell_angle_beta 98.91
_cell_angle_gamma 90.00
_symmetry_space_group_name_H-M 'P 1 m 1'
_symmetry_Int_Tables_number 6
_symmetry_space_group_name_Hall 'P -2y'
loop_
_atom_site_label
_atom_site_type_symbol
_atom_site_fract_x
_atom_site_fract_y
_atom_site_fract_z
Mn1 Mn 0.000 0.000 0.000
Mn2 Mn 0.197 0.500 0.745
Re1 Re 0.715 0.500 0.227
W1 W 0.482 0.000 0.510
```

Output
E_tot: -43.4 eV/cell
size of the total moment: 3.55 μB per formula unit
volume: 13.73 Å³/atom

***

Entry 8:
A plane-wave DFT calculation with GGA-PBE was carried out for a geometry-optimized Mn2ReW structure.

The structure in CIF format:
```
data_Mn2ReW
_cell_length_a 2.6940
_cell_length_b 2.6940
_cell_length_c 25.9395
_cell_angle_alpha 90.00
_cell_angle_beta 90.00
_cell_angle_gamma 120.00
_symmetry_space_group_name_H-M 'R 3 m'
_symmetry_Int_Tables_number 160
_symmetry_space_group_name_Hall 'R 3 -2"'
loop_
_atom_site_label
_atom_site_type_symbol
_atom_site_fract_x
_atom_site_fract_y
_atom_site_fract_z
Mn1 Mn 0.0000 0.0000 0.0000
Mn2 Mn 0.0000 0.0000 0.2612
Re1 Re 0.0000 0.0000 0.5135
W1 W 0.0000 0.0000 0.7526
```

Output
E_tot: -127.6 eV/cell
size of the total moment: 1.08 μB per formula unit
volume: 13.59 Å³/atom

***

Entry 9:
A plane-wave DFT calculation with GGA-PBE was carried out for a geometry-optimized MnRe2W structure.

The structure in CIF format:
```
data_MnRe2W
_cell_length_a 5.541
_cell_length_b 5.541
_cell_length_c 10.983
_cell_angle_alpha 90.00
_cell_angle_beta 90.00
_cell_angle_gamma 90.00
_symmetry_space_group_name_H-M 'I -4 2 d'
_symmetry_Int_Tables_number 122
_symmetry_space_group_name_Hall 'I -4 2bw'
loop_
_atom_site_label
_atom_site_type_symbol
_atom_site_fract_x
_atom_site_fract_y
_atom_site_fract_z
Mn1 Mn 0.000 0.000 0.000
Re1 Re 0.215 0.250 0.125
W1 W 0.000 0.000 0.500
```

Output
E_tot: -159.4 eV/cell
size of the total moment: 0.00 μB per formula unit
volume: 21.08 Å³/atom

***

Entry 10:
A plane-wave DFT calculation with GGA-PBE was carried out for a geometry-optimized Mn2ReW structure.

The structure in CIF format:
```
data_Mn2ReW
_cell_length_a 6.727
_cell_length_b 6.727
_cell_length_c 5.241
_cell_angle_alpha 90.00
_cell_angle_beta 90.00
_cell_angle_gamma 90.00
_symmetry_space_group_name_H-M 'I -4 2 d'
_symmetry_Int_Tables_number 122
_symmetry_space_group_name_Hall 'I -4 2bw'
loop_
_atom_site_label
_atom_site_type_symbol
_atom_site_fract_x
_atom_site_fract_y
_atom_site_fract_z
Mn1 Mn 0.244 0.250 0.125
Re1 Re 0.000 0.000 0.000
W1 W 0.000 0.000 0.500
```

Output
E_tot: -162.9 eV/cell
size of the total moment: 3.67 μB per formula unit
volume: 14.82 Å³/atom

***

Entry 11:
A plane-wave DFT calculation with GGA-PBE was carried out for a geometry-optimized Mn4ReW structure.

The structure in CIF format:
```
data_Mn4ReW
_cell_length_a 6.644
_cell_length_b 6.644
_cell_length_c 6.644
_cell_angle_alpha 90.00
_cell_angle_beta 90.00
_cell_angle_gamma 90.00
_symmetry_space_group_name_H-M 'F -4 3 m'
_symmetry_Int_Tables_number 216
_symmetry_space_group_name_Hall 'F -4 2 3'
loop_
_atom_site_label
_atom_site_type_symbol
_atom_site_fract_x
_atom_site_fract_y
_atom_site_fract_z
Mn1 Mn 0.125 0.125 0.125
Re1 Re 0.000 0.000 0.500
W1 W 0.250 0.250 0.750
```

Output
E_tot: -250.2 eV/cell
size of the total moment: 0.00 μB per formula unit
volume: 12.22 Å³/atom

***

Entry 12:
A plane-wave DFT calculation with GGA-PBE was carried out for a geometry-optimized Mn2ReW structure.

The structure in CIF format:
```
data_Mn2ReW
_cell_length_a 3.169
_cell_length_b 4.239
_cell_length_c 8.198
_cell_angle_alpha 90.00
_cell_angle_beta 90.00
_cell_angle_gamma 90.00
_symmetry_space_group_name_H-M 'C m m m'
_symmetry_Int_Tables_number 65
_symmetry_space_group_name_Hall '-C 2 2'
loop_
_atom_site_label
_atom_site_type_symbol
_atom_site_fract_x
_atom_site_fract_y
_atom_site_fract_z
Mn1 Mn 0.000 0.000 0.246
Re1 Re 0.000 0.500 0.000
W1 W 0.000 0.500 0.500
```

Output
E_tot: -86.5 eV/cell
size of the total moment: 3.39 μB per formula unit
volume: 13.76 Å³/atom

***

Entry 13:
A plane-wave DFT calculation with GGA-PBE was carried out for a geometry-optimized MnRe2W structure.

The structure in CIF format:
```
data_MnRe2W
_cell_length_a 2.758
_cell_length_b 3.843
_cell_length_c 5.501
_cell_angle_alpha 90.00
_cell_angle_beta 90.00
_cell_angle_gamma 90.00
_symmetry_space_group_name_H-M 'P m m 2'
_symmetry_Int_Tables_number 25
_symmetry_space_group_name_Hall 'P 2 -2'
loop_
_atom_site_label
_atom_site_type_symbol
_atom_site_fract_x
_atom_site_fract_y
_atom_site_fract_z
Mn1 Mn 0.000 0.000 0.000
Re1 Re 0.000 0.000 0.489
Re2 Re 0.500 0.500 0.241
W1 W 0.500 0.500 0.756
```

Output
E_tot: -46.3 eV/cell
size of the total moment: 1.28 μB per formula unit
volume: 14.57 Å³/atom

***

Entry 14:
A plane-wave DFT calculation with GGA-PBE was carried out for a geometry-optimized Mn2ReW structure.

The structure in CIF format:
```
data_Mn2ReW
_cell_length_a 3.100
_cell_length_b 4.154
_cell_length_c 4.275
_cell_angle_alpha 90.00
_cell_angle_beta 90.00
_cell_angle_gamma 90.00
_symmetry_space_group_name_H-M 'P m m m'
_symmetry_Int_Tables_number 47
_symmetry_space_group_name_Hall '-P 2 2'
loop_
_atom_site_label
_atom_site_type_symbol
_atom_site_fract_x
_atom_site_fract_y
_atom_site_fract_z
Mn1 Mn 0.000 0.000 0.000
Mn2 Mn 0.500 0.000 0.500
Re1 Re 0.000 0.500 0.500
W1 W 0.500 0.500 0.000
```

Output
E_tot: -43.4 eV/cell
size of the total moment: 2.99 μB per formula unit
volume: 13.76 Å³/atom

***

Entry 15:
A plane-wave DFT calculation with GGA-PBE was carried out for a geometry-optimized MnRe2W structure.

The structure in CIF format:
```
data_MnRe2W
_cell_length_a 3.162
_cell_length_b 4.309
_cell_length_c 4.330
_cell_angle_alpha 90.00
_cell_angle_beta 90.00
_cell_angle_gamma 90.00
_symmetry_space_group_name_H-M 'P m m m'
_symmetry_Int_Tables_number 47
_symmetry_space_group_name_Hall '-P 2 2'
loop_
_atom_site_label
_atom_site_type_symbol
_atom_site_fract_x
_atom_site_fract_y
_atom_site_fract_z
Mn1 Mn 0.000 0.000 0.000
Re1 Re 0.000 0.500 0.500
Re2 Re 0.500 0.000 0.500
W1 W 0.500 0.500 0.000
```

Output
E_tot: -46.5 eV/cell
size of the total moment: 2.61 μB per formula unit
volume: 14.75 Å³/atom

***

Entry 16:
A plane-wave DFT calculation with GGA-PBE was carried out for a geometry-optimized Mn2ReW structure.

The structure in CIF format:
```
data_Mn2ReW
_cell_length_a 8.928
_cell_length_b 2.708
_cell_length_c 4.562
_cell_angle_alpha 90.00
_cell_angle_beta 101.54
_cell_angle_gamma 90.00
_symmetry_space_group_name_H-M 'C 1 m 1'
_symmetry_Int_Tables_number 8
_symmetry_space_group_name_Hall 'C -2y'
loop_
_atom_site_label
_atom_site_type_symbol
_atom_site_fract_x
_atom_site_fract_y
_atom_site_fract_z
Mn1 Mn 0.000 0.000 0.000
Mn2 Mn 0.230 0.500 0.252
Re1 Re 0.255 0.000 0.783
W1 W 0.486 0.000 0.485
```

Output
E_tot: -86.2 eV/cell
size of the total moment: 0.40 μB per formula unit
volume: 13.51 Å³/atom

***

Entry 17:
A plane-wave DFT calculation with GGA-PBE was carried out for a geometry-optimized MnRe2W structure.

The structure in CIF format:
```
data_MnRe2W
_cell_length_a 3.137
_cell_length_b 4.344
_cell_length_c 8.656
_cell_angle_alpha 90.00
_cell_angle_beta 90.00
_cell_angle_gamma 90.00
_symmetry_space_group_name_H-M 'I m m 2'
_symmetry_Int_Tables_number 44
_symmetry_space_group_name_Hall 'I 2 -2'
loop_
_atom_site_label
_atom_site_type_symbol
_atom_site_fract_x
_atom_site_fract_y
_atom_site_fract_z
Mn1 Mn 0.000 0.000 0.000
Re1 Re 0.000 0.000 0.503
Re2 Re 0.000 0.500 0.751
W1 W 0.000 0.500 0.253
```

Output
E_tot: -93.3 eV/cell
size of the total moment: 2.58 μB per formula unit
volume: 14.74 Å³/atom

***

Entry 18:
A plane-wave DFT calculation with GGA-PBE was carried out for a geometry-optimized MnRe2W structure.

The structure in CIF format:
```
data_MnRe2W
_cell_length_a 2.7353
_cell_length_b 2.7353
_cell_length_c 26.9343
_cell_angle_alpha 90.00
_cell_angle_beta 90.00
_cell_angle_gamma 120.00
_symmetry_space_group_name_H-M 'R -3 m'
_symmetry_Int_Tables_number 166
_symmetry_space_group_name_Hall '-R 3 2"'
loop_
_atom_site_label
_atom_site_type_symbol
_atom_site_fract_x
_atom_site_fract_y
_atom_site_fract_z
Mn1 Mn 0.0000 0.0000 0.0000
Re1 Re 0.0000 0.0000 0.2565
W1 W 0.0000 0.0000 0.5000
```

Output
E_tot: -138.3 eV/cell
size of the total moment: 0.57 μB per formula unit
volume: 14.54 Å³/atom

***

Entry 19:
A plane-wave DFT calculation with GGA-PBE was carried out for a geometry-optimized Mn8ReW3 structure.

The structure in CIF format:
```
data_Mn8ReW3
_cell_length_a 4.6954
_cell_length_b 4.6954
_cell_length_c 7.7404
_cell_angle_alpha 90.00
_cell_angle_beta 90.00
_cell_angle_gamma 120.00
_symmetry_space_group_name_H-M 'P 3 m 1'
_symmetry_Int_Tables_number 156
_symmetry_space_group_name_Hall 'P 3 -2"'
loop_
_atom_site_label
_atom_site_type_symbol
_atom_site_fract_x
_atom_site_fract_y
_atom_site_fract_z
Mn1 Mn 0.0000 0.0000 0.0000
Mn2 Mn 0.0000 0.0000 0.5003
Mn3 Mn 0.1724 0.3447 0.2501
Mn4 Mn 0.3448 0.1724 0.7517
Re1 Re 0.6667 0.3333 0.0690
W1 W 0.3333 0.6667 0.5662
W2 W 0.3333 0.6667 0.9378
W3 W 0.6667 0.3333 0.4329
```

Output
E_tot: -125.9 eV/cell
size of the total moment: 0.00 μB per formula unit
volume: 12.32 Å³/atom

***

Entry 20:
A plane-wave DFT calculation with GGA-PBE was carried out for a geometry-optimized MnRe2W structure.

The structure in CIF format:
```
data_MnRe2W
_cell_length_a 3.869
_cell_length_b 3.869
_cell_length_c 7.783
_cell_angle_alpha 90.00
_cell_angle_beta 90.00
_cell_angle_gamma 90.00
_symmetry_space_group_name_H-M 'I 4/m m m'
_symmetry_Int_Tables_number 139
_symmetry_space_group_name_Hall '-I 4 2'
loop_
_atom_site_label
_atom_site_type_symbol
_atom_site_fract_x
_atom_site_fract_y
_atom_site_fract_z
Mn1 Mn 0.000 0.000 0.000
Re1 Re 0.000 0.500 0.250
W1 W 0.000 0.000 0.500
```

Output
E_tot: -92.7 eV/cell
size of the total moment: 1.21 μB per formula unit
volume: 14.57 Å³/atom

***

| no. | formation enthalpy at 0 K (eV/atom) |
| --- | --- |
| 1 | 0.11 |
| 2 | 0.27 |
| 3 | 0.51 |
| 4 | 0.13 |
| 5 | 0.12 |
| 6 | 0.20 |
| 7 | 0.09 |
| 8 | 0.30 |
| 9 | 1.79 |
| 10 | 0.76 |
| 11 | -0.08 |
| 12 | 0.12 |
| 13 | 0.17 |
| 14 | 0.08 |
| 15 | 0.12 |
| 16 | 0.16 |
| 17 | 0.09 |
| 18 | 0.23 |
| 19 | -0.10 |
| 20 | 0.16 |